Record 1
Density functional theory data (PBE-GGA) for an optimized crystal structure of Tm2AlInPt4.

The space group is P-3m1 (No. 164) and the conventional cell measures 4.4495, 4.4495 and 9.0509 Å, with angles of 90.00, 90.00 and 120.00 degrees. The asymmetric unit holds Tm at (0.3333, 0.6667, 0.2540), Al at (0.0000, 0.0000, 0.5000), In at (0.0000, 0.0000, 0.0000), Pt at (0.3333, 0.6667, 0.5818) and Pt at (0.3333, 0.6667, 0.9006).

The crystal system is trigonal. Its energy is -6.032 eV/atom. The value obtained for the calculated volume is 155.2 Å³/cell.

Record 2
Density functional theory data (PBE-GGA) for an optimized crystal structure of Y2AlInPt4.

The space group is P-3m1 (No. 164) and the conventional cell measures 4.4798, 4.4798 and 9.1481 Å, with angles of 90.00, 90.00 and 120.00 degrees. The asymmetric unit holds Y at (0.3333, 0.6667, 0.2464), Al at (0.0000, 0.0000, 0.0000), In at (0.0000, 0.0000, 0.5000), Pt at (0.3333, 0.6667, 0.5961) and Pt at (0.3333, 0.6667, 0.9200).

The crystal system is trigonal. Its energy is -6.505 eV/atom. The value obtained for the calculated volume is 159.0 Å³/cell.

Record 3
Density functional theory data (PBE-GGA) for an optimized crystal structure of ZrAlInS3.

The space group is Cmcm (No. 63) and the conventional cell measures 3.489, 15.958 and 10.068 Å, with angles of 90.00, 90.00 and 90.00 degrees. The asymmetric unit holds Zr at (0.000, 0.000, 0.000), Al at (0.000, 0.450, 0.250), In at (0.000, 0.261, 0.750), S at (0.000, 0.047, 0.250) and S at (0.000, 0.378, 0.060).

The crystal system is orthorhombic. Its energy is -5.436 eV/atom. The value obtained for the calculated volume is 560.7 Å³/cell.

Record 4
Density functional theory data (PBE-GGA) for an optimized crystal structure of AlZnInTe2Se2.

The space group is P1 (No. 1) and the conventional cell measures 5.836, 5.892 and 7.246 Å, with angles of 112.82, 113.34 and 90.05 degrees. The asymmetric unit holds Al at (0.000, 0.000, 0.000), Zn at (0.501, 0.463, 0.001), In at (0.767, 0.229, 0.500), Te at (0.345, 0.832, 0.261), Te at (0.593, 0.636, 0.740), Se at (0.149, 0.086, 0.759) and Se at (0.899, 0.366, 0.242).

The crystal system is triclinic. Its energy is -3.559 eV/atom. The value obtained for the calculated volume is 207.3 Å³/cell.

Record 5
Density functional theory data (PBE-GGA) for an optimized crystal structure of AlZnInTeSe3.

The space group is P1 (No. 1) and the conventional cell measures 5.757, 5.772 and 7.096 Å, with angles of 112.51, 112.93 and 90.94 degrees. The asymmetric unit holds Al at (0.000, 0.000, 0.000), Zn at (0.513, 0.484, 0.997), In at (0.743, 0.225, 0.486), Te at (0.153, 0.646, 0.729), Se at (0.349, 0.374, 0.240), Se at (0.616, 0.091, 0.755) and Se at (0.900, 0.846, 0.241).

The crystal system is triclinic. Its energy is -3.683 eV/atom. The value obtained for the calculated volume is 196.8 Å³/cell.

Record 6
Density functional theory data (PBE-GGA) for an optimized crystal structure of AlZnInTe2Se2.

The space group is C2 (No. 5) and the conventional cell measures 8.248, 11.970 and 5.900 Å, with angles of 90.00, 134.25 and 90.00 degrees. The asymmetric unit holds Al at (0.000, 0.000, 0.000), Zn at (0.000, 0.497, 0.000), In at (0.000, 0.234, 0.500), Te at (0.213, 0.865, 0.493) and Se at (0.239, 0.616, 0.966).

The crystal system is monoclinic. Its energy is -3.550 eV/atom. The value obtained for the calculated volume is 417.2 Å³/cell.

Record 7
Density functional theory data (PBE-GGA) for an optimized crystal structure of TmAlInSe3.

The space group is Cmcm (No. 63) and the conventional cell measures 4.058, 14.627 and 10.921 Å, with angles of 90.00, 90.00 and 90.00 degrees. The asymmetric unit holds Tm at (0.000, 0.000, 0.000), Al at (0.000, 0.454, 0.250), In at (0.000, 0.245, 0.750), Se at (0.000, 0.060, 0.250) and Se at (0.000, 0.370, 0.056).

The crystal system is orthorhombic. Its energy is -4.495 eV/atom. The value obtained for the calculated volume is 648.2 Å³/cell.

Record 8
Density functional theory data (PBE-GGA) for an optimized crystal structure of ZrAlInSe3.

The space group is Cmcm (No. 63) and the conventional cell measures 3.695, 15.550 and 10.276 Å, with angles of 90.00, 90.00 and 90.00 degrees. The asymmetric unit holds Zr at (0.000, 0.000, 0.000), Al at (0.000, 0.460, 0.250), In at (0.000, 0.248, 0.750), Se at (0.000, 0.067, 0.250) and Se at (0.000, 0.370, 0.058).

The crystal system is orthorhombic. Its energy is -4.965 eV/atom. The value obtained for the calculated volume is 590.4 Å³/cell.

Record 9
Density functional theory data (PBE-GGA) for an optimized crystal structure of SmAlIn.

The space group is F-43m (No. 216) and the conventional cell measures 6.804, 6.804 and 6.804 Å, with angles of 90.00, 90.00 and 90.00 degrees. The asymmetric unit holds Sm at (0.000, 0.000, 0.000), Al at (0.250, 0.250, 0.750) and In at (0.000, 0.000, 0.500).

The crystal system is cubic. Its energy is -3.974 eV/atom. The value obtained for the calculated volume is 314.9 Å³/cell.

Record 10
Density functional theory data (PBE-GGA) for an optimized crystal structure of SmAlIn.

The space group is F-43m (No. 216) and the conventional cell measures 7.098, 7.098 and 7.098 Å, with angles of 90.00, 90.00 and 90.00 degrees. The asymmetric unit holds Sm at (0.000, 0.000, 0.000), Al at (0.250, 0.250, 0.750) and In at (0.250, 0.250, 0.250).

The crystal system is cubic. Its energy is -3.616 eV/atom. The value obtained for the calculated volume is 357.6 Å³/cell.

Record 11
Density functional theory data (PBE-GGA) for an optimized crystal structure of SmAlInTe3.

The space group is Cmcm (No. 63) and the conventional cell measures 4.461, 15.040 and 11.672 Å, with angles of 90.00, 90.00 and 90.00 degrees. The asymmetric unit holds Sm at (0.000, 0.000, 0.000), Al at (0.000, 0.467, 0.250), In at (0.000, 0.235, 0.750), Te at (0.000, 0.077, 0.250) and Te at (0.000, 0.358, 0.066).

The crystal system is orthorhombic. Its energy is -4.082 eV/atom. The value obtained for the calculated volume is 783.1 Å³/cell.

Record 12
Density functional theory data (PBE-GGA) for an optimized crystal structure of SrAlZn2In.

The space group is I4mm (No. 107) and the conventional cell measures 4.470, 4.470 and 11.392 Å, with angles of 90.00, 90.00 and 90.00 degrees. The asymmetric unit holds Sr at (0.000, 0.000, 0.000), Al at (0.000, 0.000, 0.622), Zn at (0.000, 0.500, 0.237) and In at (0.000, 0.000, 0.379).

The crystal system is tetragonal. Its energy is -2.380 eV/atom. The value obtained for the calculated volume is 227.6 Å³/cell.

Q: Which formula does entry 5 have?
A: AlZnInTeSe3